DFT (PBE-GGA) results for a relaxed Li6Cd2Pb crystal.

Values from the calculation:
D(E_F) in states/eV per cell: 2.79
Crystal system: trigonal
DFT formation energy in eV per atom: -0.232
Relative energy among the computed polymorphs in eV per formula unit: 0.00
Total magnetization in μB/cell: 0.000
Electronic total energy in eV per atom: -2.1236
Symmetry: R-3m, No. 166

abc: 5.5407 5.5407 5.5407
angles: 94.39 94.39 94.39
Positions (direct):
Li: 0.0000 0.3331 0.6669
Li: 0.0000 0.6669 0.3331
Li: 0.3331 0.0000 0.6669
Li: 0.3331 0.6669 0.0000
Li: 0.6669 0.0000 0.3331
Li: 0.6669 0.3331 0.0000
Cd: 0.1602 0.1602 0.1602
Cd: 0.8398 0.8398 0.8398
Pb: 0.5000 0.5000 0.5000